Record 1
{
  "formula": "CaCd7Ag12",
  "functional": "PBE",
  "state": "relaxed",
  "cell": [[-8.1262, 3.3359, 0.5790], [-0.4288, -8.7929, 0.0250], [4.7866, 2.7241, 6.8678]],
  "species": ["Ca", "Cd", "Cd", "Cd", "Cd", "Cd", "Cd", "Cd", "Ag", "Ag", "Ag", "Ag", "Ag", "Ag", "Ag", "Ag", "Ag", "Ag", "Ag", "Ag"],
  "fractional_positions": [[0.0000, 0.0000, 0.0000], [0.5000, 0.0000, 0.5000], [0.5000, 0.5000, 0.0000], [0.0000, 0.5000, 0.5000], [0.0000, 0.0000, 0.5000], [0.5000, 0.0000, 0.0000], [0.5000, 0.5000, 0.5000], [0.0000, 0.5000, 0.0000], [0.2564, 0.1417, 0.3981], [0.2564, 0.8583, 0.1148], [0.7436, 0.8583, 0.6019], [0.7436, 0.1417, 0.8852], [0.3981, 0.2564, 0.1417], [0.8852, 0.7436, 0.1417], [0.6019, 0.7436, 0.8583], [0.1148, 0.2564, 0.8583], [0.8583, 0.1148, 0.2564], [0.1417, 0.8852, 0.7436], [0.1417, 0.3981, 0.2564], [0.8583, 0.6019, 0.7436]],
  "crystal_system": "cubic",
  "dft_energy_ev_per_atom": -1.918,
  "spacegroup": "No. 204",
  "formation_energy_kcal_per_mol_atoms": 4.90,
  "vol_a3_per_cell": 525,
  "dos_ef_per_ev_cell": 3.39
}

Record 2
{
  "formula": "CaCd2Ag4",
  "functional": "PBE",
  "state": "relaxed",
  "cell": [[4.8992, 0.0000, 2.8283], [2.4496, 5.1208, 1.4142], [-0.1106, 0.0000, 5.8490]],
  "species": ["Ca", "Ag", "Ag", "Ag", "Ag", "Cd", "Cd"],
  "fractional_positions": [[0.0000, 0.0000, 0.0000], [0.6948, 0.0000, 0.6103], [0.3052, 0.0000, 0.3897], [0.3052, 0.3897, 0.0000], [0.6948, 0.6103, 0.0000], [0.7500, 0.5000, 0.5000], [0.2500, 0.5000, 0.5000]],
  "crystal_system": "tetragonal",
  "dft_energy_ev_per_atom": -2.363,
  "spacegroup": "No. 139",
  "formation_energy_kcal_per_mol_atoms": -4.29,
  "vol_a3_per_cell": 148,
  "dos_ef_per_ev_cell": 2.66,
  "polymorph_energy_mev_per_atom": 0
}

Record 3
{
  "formula": "Ca11Cd9Ag4",
  "functional": "PBE",
  "state": "relaxed",
  "cell": [[-1.9667, 0.2073, 3.2489], [-10.1894, -7.1353, -5.7129], [9.4279, -7.7476, 6.2017]],
  "species": ["Ca", "Ca", "Ca", "Ca", "Ca", "Ca", "Ca", "Ca", "Ca", "Ca", "Ca", "Cd", "Cd", "Cd", "Cd", "Cd", "Cd", "Cd", "Cd", "Cd", "Ag", "Ag", "Ag", "Ag"],
  "fractional_positions": [[0.0000, 0.5870, 0.9323], [0.0000, 0.4130, 0.0677], [0.0000, 0.9323, 0.5870], [0.0000, 0.0677, 0.4130], [0.0000, 0.6393, 0.3607], [0.0000, 0.3607, 0.6393], [0.0000, 0.8376, 0.1624], [0.0000, 0.1624, 0.8376], [0.0000, 0.0000, 0.0000], [0.0000, 0.7134, 0.7134], [0.0000, 0.2866, 0.2866], [0.5000, 0.6314, 0.1534], [0.5000, 0.3686, 0.8466], [0.5000, 0.1534, 0.6314], [0.5000, 0.8466, 0.3686], [0.5000, 0.7862, 0.9359], [0.5000, 0.2138, 0.0641], [0.5000, 0.9359, 0.7862], [0.5000, 0.0641, 0.2138], [0.5000, 0.5000, 0.5000], [0.5000, 0.5506, 0.7443], [0.5000, 0.4494, 0.2557], [0.5000, 0.7443, 0.5506], [0.5000, 0.2557, 0.4494]],
  "crystal_system": "orthorhombic",
  "dft_energy_ev_per_atom": -2.059,
  "spacegroup": "No. 65",
  "formation_energy_kcal_per_mol_atoms": -7.46,
  "vol_a3_per_cell": 651,
  "dos_ef_per_ev_cell": 16.39
}

Record 4
{
  "formula": "Ca4CdAg3",
  "functional": "PBE",
  "state": "relaxed",
  "cell": [[4.0630, 0.0000, 0.0000], [0.0000, 4.7720, 0.0000], [0.0000, 0.0000, 11.5222]],
  "species": ["Ca", "Ca", "Ca", "Ca", "Cd", "Ag", "Ag", "Ag"],
  "fractional_positions": [[0.5000, 0.5000, 0.3626], [0.0000, 0.5000, 0.8509], [0.0000, 0.0000, 0.1467], [0.5000, 0.0000, 0.6406], [0.5000, 0.5000, 0.0740], [0.0000, 0.5000, 0.5748], [0.0000, 0.0000, 0.4263], [0.5000, 0.0000, 0.9242]],
  "crystal_system": "orthorhombic",
  "dft_energy_ev_per_atom": -2.502,
  "spacegroup": "No. 25",
  "formation_energy_kcal_per_mol_atoms": -7.33,
  "vol_a3_per_cell": 223,
  "dos_ef_per_ev_cell": 5.97,
  "polymorph_energy_mev_per_atom": 0
}

Record 5
{
  "formula": "Ca7Cd2Ag",
  "functional": "PBE",
  "state": "relaxed",
  "cell": [[-5.7533, 0.3665, -5.1097], [-8.6231, -1.1380, 3.8206], [-6.1581, 9.4111, 1.8018]],
  "species": ["Ca", "Ca", "Ca", "Ca", "Ca", "Ca", "Ca", "Ca", "Ca", "Ca", "Ca", "Ca", "Ca", "Ca", "Cd", "Cd", "Cd", "Cd", "Ag", "Ag"],
  "fractional_positions": [[0.7054, 0.5233, 0.8598], [0.9116, 0.0233, 0.3598], [0.2953, 0.9071, 0.9082], [0.4193, 0.2430, 0.4836], [0.5920, 0.2500, 0.7500], [0.8894, 0.4071, 0.4082], [0.1458, 0.2570, 0.0164], [0.8542, 0.7430, 0.9836], [0.1106, 0.5929, 0.5918], [0.4080, 0.7500, 0.2500], [0.5807, 0.7570, 0.5164], [0.7047, 0.0929, 0.0918], [0.0884, 0.9767, 0.6402], [0.2946, 0.4767, 0.1402], [0.6967, 0.9094, 0.6805], [0.7134, 0.4094, 0.1805], [0.2866, 0.5906, 0.8195], [0.3033, 0.0906, 0.3195], [0.0172, 0.2500, 0.7500], [0.9828, 0.7500, 0.2500]],
  "crystal_system": "monoclinic",
  "dft_energy_ev_per_atom": -2.060,
  "spacegroup": "No. 15",
  "formation_energy_kcal_per_mol_atoms": -4.40,
  "vol_a3_per_cell": 666,
  "dos_ef_per_ev_cell": 18.88
}

Record 6
{
  "formula": "Ca2Cd7Ag",
  "functional": "PBE",
  "state": "relaxed",
  "cell": [[7.4957, 0.0000, 0.0000], [3.7478, 6.4915, 0.0000], [3.7478, 2.1638, 6.1202]],
  "species": ["Ca", "Ca", "Cd", "Cd", "Cd", "Cd", "Cd", "Cd", "Cd", "Ag"],
  "fractional_positions": [[0.2500, 0.2500, 0.2500], [0.7500, 0.7500, 0.7500], [0.5000, 0.5000, 0.5000], [0.2469, 0.7531, 0.7531], [0.2469, 0.7531, 0.2469], [0.7531, 0.2469, 0.7531], [0.7531, 0.7531, 0.2469], [0.2469, 0.2469, 0.7531], [0.7531, 0.2469, 0.2469], [0.0000, 0.0000, 0.0000]],
  "crystal_system": "cubic",
  "dft_energy_ev_per_atom": -1.247,
  "spacegroup": "No. 225",
  "formation_energy_kcal_per_mol_atoms": 1.82,
  "vol_a3_per_cell": 298,
  "dos_ef_per_ev_cell": 5.48
}

Record 7
{
  "formula": "Ca5CdAg2",
  "functional": "PBE",
  "state": "relaxed",
  "cell": [[7.3688, 0.0000, -3.4785], [-1.6420, 7.1835, -3.4785], [-0.0873, -0.1096, 9.3592]],
  "species": ["Ca", "Ca", "Ca", "Ca", "Ca", "Ca", "Ca", "Ca", "Ca", "Ca", "Cd", "Cd", "Ag", "Ag", "Ag", "Ag"],
  "fractional_positions": [[0.5226, 0.6900, 0.7125], [0.8100, 0.9774, 0.2875], [0.0000, 0.0000, 0.0000], [0.5000, 0.5000, 0.0000], [0.1900, 0.0226, 0.7125], [0.6900, 0.1900, 0.7125], [0.0226, 0.5226, 0.7125], [0.3100, 0.8100, 0.2875], [0.9774, 0.4774, 0.2875], [0.4774, 0.3100, 0.2875], [0.7500, 0.7500, 0.5000], [0.2500, 0.2500, 0.5000], [0.1264, 0.3736, 0.0000], [0.6264, 0.1264, 0.0000], [0.3736, 0.8736, 0.0000], [0.8736, 0.6264, 0.0000]],
  "crystal_system": "tetragonal",
  "dft_energy_ev_per_atom": -2.377,
  "spacegroup": "No. 140",
  "formation_energy_kcal_per_mol_atoms": -6.89,
  "vol_a3_per_cell": 490,
  "dos_ef_per_ev_cell": 9.95
}

Record 8
{
  "formula": "CaCd3Ag3",
  "functional": "PBE",
  "state": "relaxed",
  "cell": [[-7.2937, 0.1911, -1.2043], [-3.3237, -5.6231, -3.4667], [-4.5688, -4.7584, 4.2115]],
  "species": ["Ca", "Ca", "Cd", "Cd", "Cd", "Cd", "Cd", "Cd", "Ag", "Ag", "Ag", "Ag", "Ag", "Ag"],
  "fractional_positions": [[0.3452, 0.3452, 0.9644], [0.6548, 0.6548, 0.0356], [0.5676, 0.7315, 0.6263], [0.7315, 0.0746, 0.6263], [0.0746, 0.5676, 0.6263], [0.9254, 0.4324, 0.3737], [0.2685, 0.9254, 0.3737], [0.4324, 0.2685, 0.3737], [0.1714, 0.7169, 0.1810], [0.9307, 0.1714, 0.1810], [0.7169, 0.9307, 0.1810], [0.2831, 0.0693, 0.8190], [0.0693, 0.8286, 0.8190], [0.8286, 0.2831, 0.8190]],
  "crystal_system": "trigonal",
  "dft_energy_ev_per_atom": -2.039,
  "spacegroup": "No. 148",
  "formation_energy_kcal_per_mol_atoms": -3.21,
  "vol_a3_per_cell": 311,
  "dos_ef_per_ev_cell": 7.32,
  "polymorph_energy_mev_per_atom": 19
}

Record 9
{
  "formula": "Ca3CdAg4",
  "functional": "PBE",
  "state": "relaxed",
  "cell": [[5.1016, 0.0000, 0.0000], [0.0000, 7.3303, 0.0000], [0.0000, 0.0000, 10.1980]],
  "species": ["Ca", "Ca", "Ca", "Ca", "Ca", "Ca", "Ag", "Ag", "Ag", "Ag", "Ag", "Ag", "Ag", "Ag", "Cd", "Cd"],
  "fractional_positions": [[0.0000, 0.0000, 0.0000], [0.0000, 0.0000, 0.5000], [0.5002, 0.0000, 0.7500], [0.4998, 0.0000, 0.2500], [0.5006, 0.5000, 0.7500], [0.4994, 0.5000, 0.2500], [0.5000, 0.7394, 0.0000], [0.5000, 0.7394, 0.5000], [0.5000, 0.2606, 0.0000], [0.5000, 0.2606, 0.5000], [0.0005, 0.7394, 0.7500], [0.9995, 0.7394, 0.2500], [0.9995, 0.2606, 0.2500], [0.0005, 0.2606, 0.7500], [0.0000, 0.5000, 0.0000], [0.0000, 0.5000, 0.5000]],
  "crystal_system": "tetragonal",
  "dft_energy_ev_per_atom": -2.553,
  "spacegroup": "No. 123",
  "formation_energy_kcal_per_mol_atoms": -6.05,
  "vol_a3_per_cell": 381,
  "dos_ef_per_ev_cell": 7.62
}

Record 10
{
  "formula": "CaCd3Ag",
  "functional": "PBE",
  "state": "relaxed",
  "cell": [[-2.5341, -6.8995, 1.6732], [4.2877, -3.5476, 1.0626], [-0.2112, 1.4928, 5.8358]],
  "species": ["Ca", "Ca", "Cd", "Cd", "Cd", "Cd", "Cd", "Cd", "Ag", "Ag"],
  "fractional_positions": [[0.9284, 0.2670, 0.0524], [0.6322, 0.6987, 0.5524], [0.1680, 0.1652, 0.5524], [0.3926, 0.8005, 0.0524], [0.4710, 0.2754, 0.8087], [0.4710, 0.2754, 0.2961], [0.0896, 0.6903, 0.3087], [0.0896, 0.6903, 0.7961], [0.8144, 0.1088, 0.5524], [0.7462, 0.8569, 0.0524]],
  "crystal_system": "monoclinic",
  "dft_energy_ev_per_atom": -1.739,
  "spacegroup": "No. 11",
  "formation_energy_kcal_per_mol_atoms": -5.06,
  "vol_a3_per_cell": 240,
  "dos_ef_per_ev_cell": 5.16,
  "polymorph_energy_mev_per_atom": 0
}